Arrangement a

Computed, not measured: a relaxed RbZr3Cr crystal at the PBE-GGA level of DFT.

Cell lengths 5.1125, 5.1125, 5.1125 Å; angles 90.00, 90.00, 90.00 degrees
Fractional positions:
1 Rb 0.0000 0.0000 0.0000
2 Zr 0.0000 0.5000 0.5000
3 Zr 0.5000 0.0000 0.5000
4 Zr 0.5000 0.5000 0.0000
5 Cr 0.5000 0.5000 0.5000

Computed properties:
crystal system	cubic
symmetry	Pm-3m
spin magnetization	1.58	Bohr magnetons per cell

=====

Arrangement b

Computed, not measured: a relaxed RbZr3Cr crystal at the PBE-GGA level of DFT.

Cell lengths 4.9586, 4.9586, 4.9586 Å; angles 90.00, 90.00, 90.00 degrees
Fractional positions:
1 Rb 0.0000 0.0000 0.0000
2 Zr 0.0000 0.0000 0.5000
3 Zr 0.0000 0.5000 0.0000
4 Zr 0.5000 0.0000 0.0000
5 Cr 0.5000 0.5000 0.5000

Computed properties:
crystal system	cubic
symmetry	Pm-3m
spin magnetization	0.00	Bohr magnetons per cell

=====

What is the stability order? It is arrangement a, arrangement b, from most stable to least stable.